Here is KBaCd2Pt2 after structural relaxation from Alexandria via LeMat-Bulk. Energies are from PBE.

Summary:
Raw total energy   -3.2049 eV per atom
Formation energy   -0.3829 eV per atom
V   178.01 Å³ per cell

```
6
Lattice="4.698 0.000 0.000 -2.349 4.069 0.000 0.000 0.000 9.312" Properties=species:S:1:pos:R:3 pbc="T T T"
Ba 0.000 0.000 0.000
Cd 2.349 1.356 6.936
Cd 0.000 2.713 2.376
Pt 0.000 2.713 7.198
K 0.000 0.000 4.656
Pt 2.349 1.356 2.114
```

Here is BaInS2 after structural relaxation from Alexandria via LeMat-Bulk. Energies are from PBE.

Summary:
Raw total energy   -4.4476 eV per atom
E_form (uncorrected)   -1219 meV/atom
V   458.57 Å³ per cell

```
16
Lattice="4.248 0.000 0.000 0.000 7.466 0.000 0.000 0.000 14.459" Properties=species:S:1:pos:R:3 pbc="T T T"
Ba 3.186 0.803 2.083
Ba 3.186 4.536 5.146
In 1.062 0.784 5.641
S 3.186 5.513 0.154
S 3.186 4.828 10.788
S 1.062 5.686 7.383
S 1.062 1.953 14.305
S 3.186 1.095 10.900
S 1.062 6.371 3.559
Ba 1.062 2.930 9.312
In 3.186 2.949 12.870
In 1.062 4.517 1.588
S 1.062 2.638 3.670
Ba 1.062 6.663 12.376
S 3.186 1.780 7.075
In 3.186 6.682 8.818
```

Here is NaMnIBr2 after structural relaxation from Alexandria via LeMat-Bulk. Energies are from PBE.

Summary:
Raw total energy   -4.0138 eV per atom
E_form (uncorrected)   -937 meV/atom
Energy above the most stable polymorph in this dataset   0.0 meV per atom
V   372.93 Å³ per cell

```
10
Lattice="-1.706 -1.166 -4.045 7.343 -0.297 -3.012 -3.172 -9.828 4.171" Properties=species:S:1:pos:R:3 pbc="T T T"
Na 3.567 -4.686 -1.429
Br -3.343 -10.133 0.505
I 1.916 -7.147 -0.023
Br 4.260 -4.512 -4.322
I 0.549 -4.144 -2.862
Br -1.794 -6.779 1.436
Mn -1.545 -2.500 -2.453
Mn 4.011 -8.791 -0.433
Na -1.102 -6.605 -1.457
Br 5.808 -1.159 -3.391
```

Here is CeSiRu2 after structural relaxation from Alexandria via LeMat-Bulk. Energies are from PBE.

Summary:
Raw total energy   -8.0366 eV per atom
E_form (uncorrected)   -559 meV/atom
V   141.26 Å³ per cell

```
8
Lattice="-1.900 -2.152 -5.289 3.255 -2.274 -0.244 -0.926 -2.194 8.106" Properties=species:S:1:pos:R:3 pbc="T T T"
Ru 0.003 -2.070 3.114
Ce -1.538 -4.092 1.399
Si 0.980 -4.221 3.762
Ce 1.968 -2.529 1.175
Ru 1.796 -2.445 -1.908
Si -0.550 -2.400 -1.188
Ru 0.427 -4.551 -0.540
Ru -1.365 -4.175 4.482
```

Here is TaReOs3 after structural relaxation from Alexandria via LeMat-Bulk. Energies are from PBE.

Summary:
Raw total energy   -9.4501 eV per atom
Formation energy   2.1479 eV per atom
Energy above the most stable polymorph in this dataset   2084.7 meV per atom
V   100.46 Å³ per cell

```
5
Lattice="-3.974 1.012 2.189 -2.268 -0.134 -4.056 -0.820 -4.535 0.608" Properties=species:S:1:pos:R:3 pbc="T T T"
Os -1.134 -0.067 -2.028
Os -1.987 0.506 1.095
Ta -3.531 -1.829 -0.629
Os -0.410 -2.268 0.304
Re 0.000 0.000 0.000
```

Here is La3Pm3DyS8 after structural relaxation from Alexandria via LeMat-Bulk. Energies are from PBE.

Summary:
Raw total energy   -6.5568 eV per atom
E_form (uncorrected)   -2113 meV/atom
V   383.19 Å³ per cell

```
15
Lattice="8.110 0.000 0.000 -4.055 7.024 -0.024 0.000 -4.659 6.743" Properties=species:S:1:pos:R:3 pbc="T T T"
La 2.028 3.512 -0.012
S 0.000 2.347 1.724
Pm -2.028 1.183 3.359
S 4.055 0.018 4.994
S 4.055 2.406 1.767
Dy 0.000 -2.329 3.371
S 6.134 -1.194 1.779
La -2.028 3.512 -0.012
S 1.977 -1.194 1.779
S 2.079 3.559 4.939
S -2.079 3.559 4.939
S 0.000 -0.041 4.951
La 0.000 0.000 0.000
Pm 2.028 1.183 3.359
Pm 4.055 -2.329 3.371
```

Here is EuTaP2 after structural relaxation from Alexandria via LeMat-Bulk. Energies are from PBE.

Summary:
Raw total energy   -9.2029 eV per atom
Formation energy   -0.9662 eV per atom
V   79.31 Å³ per cell

```
4
Lattice="-3.315 1.404 -1.020 -3.160 -1.590 1.220 -2.109 3.858 5.303" Properties=species:S:1:pos:R:3 pbc="T T T"
P -2.148 0.777 1.188
Eu -4.292 1.836 2.752
Ta 0.000 0.000 0.000
P -6.436 2.895 4.316
```

Here is Mn2AsRu4 after structural relaxation from Alexandria via LeMat-Bulk. Energies are from PBE.

Summary:
Raw total energy   -7.5435 eV per atom
Formation energy   1.0411 eV per atom
V   124.51 Å³ per cell

```
7
Lattice="-1.434 -0.913 -4.134 1.906 -4.037 0.230 -5.035 -4.829 0.396" Properties=species:S:1:pos:R:3 pbc="T T T"
Ru 0.953 -2.018 0.115
Ru -0.717 -0.456 -2.067
As 0.000 0.000 0.000
Ru -3.025 -3.931 -0.499
Mn -1.039 -3.044 -1.384
Ru -1.539 -5.847 -3.009
Mn -3.525 -6.734 -2.124
```